# 1
## HfAl2SF (PBE-GGA)

Data for crystalline HfAl2SF at its relaxed geometry.

Summary:
Space group: P4/mmm

Structure (POSCAR):
```
HfAl2SF
1.0
-1.590 5.296 0.210
-1.733 -0.693 4.362
4.900 1.385 2.167
F Al S Hf
1 2 1 1
direct
0.500 0.500 0.500
0.000 0.000 0.500
0.500 0.000 0.000
0.000 0.500 0.000
0.000 0.000 0.000
```


# 2
## HfAlSeF2 (PBE-GGA)

Data for crystalline HfAlSeF2 at its relaxed geometry.

Summary:
Space group: P4/mmm

Structure (POSCAR):
```
HfAlSeF2
1.0
3.730 0.000 0.000
0.000 6.236 0.000
0.000 0.000 3.730
Al F Hf Se
1 2 1 1
direct
0.000 0.000 0.000
0.000 0.000 0.500
0.500 0.000 0.000
0.000 0.500 0.000
0.500 0.500 0.500
```


# 3
## HfAlSiF2 (PBE-GGA)

Data for crystalline HfAlSiF2 at its relaxed geometry.

Summary:
Space group: P4/mmm

Structure (POSCAR):
```
HfAlSiF2
1.0
-1.391 3.606 0.921
-3.696 -0.401 -4.012
-2.578 -1.642 2.539
F Hf Al Si
2 1 1 1
direct
0.000 0.000 0.500
0.500 0.000 0.000
0.500 0.500 0.500
0.000 0.500 0.000
0.000 0.000 0.000
```


# 4
## HfTaAlF2 (PBE-GGA)

Data for crystalline HfTaAlF2 at its relaxed geometry.

Summary:
Space group: P4/mmm
ΔE to the lowest computed polymorph (eV per atom): 0.403

Structure (POSCAR):
```
HfTaAlF2
1.0
3.758 0.000 0.000
0.000 6.291 0.000
0.000 0.000 3.758
F Ta Al Hf
2 1 1 1
direct
0.500 0.000 0.000
0.000 0.000 0.500
0.000 0.500 0.000
0.000 0.000 0.000
0.500 0.500 0.500
```


# 5
## HfTaAlF2 (PBE-GGA)

Data for crystalline HfTaAlF2 at its relaxed geometry.

Summary:
Space group: P4/mmm
ΔE to the lowest computed polymorph (eV per atom): 0.000

Structure (POSCAR):
```
HfTaAlF2
1.0
3.991 0.000 0.000
0.000 6.127 0.000
0.000 0.000 3.991
Hf F Ta Al
1 2 1 1
direct
0.000 0.000 0.000
0.500 0.000 0.000
0.000 0.000 0.500
0.000 0.500 0.000
0.500 0.500 0.500
```


# 6
## HfAlTeF2 (PBE-GGA)

Data for crystalline HfAlTeF2 at its relaxed geometry.

Summary:
Space group: P4/mmm
ΔE to the lowest computed polymorph (eV per atom): 1.355

Structure (POSCAR):
```
HfAlTeF2
1.0
-2.684 -2.110 -2.645
4.572 -3.074 -2.188
-0.593 -3.031 3.019
Te F Hf Al
1 2 1 1
direct
0.000 0.000 0.000
0.500 0.000 0.000
0.000 0.000 0.500
0.500 0.500 0.500
0.000 0.500 0.000
```


# 7
## HfAlTeF2 (PBE-GGA)

Data for crystalline HfAlTeF2 at its relaxed geometry.

Summary:
Space group: P4/mmm
ΔE to the lowest computed polymorph (eV per atom): 0.000

Structure (POSCAR):
```
HfAlTeF2
1.0
-3.587 -2.016 -1.050
0.616 -2.750 3.177
-2.958 3.423 3.536
Al F Te Hf
1 2 1 1
direct
0.500 0.500 0.500
0.000 0.500 0.000
0.500 0.000 0.000
0.000 0.000 0.500
0.000 0.000 0.000
```


# 8
## AlHgF6 (PBE-GGA)

Data for crystalline AlHgF6 at its relaxed geometry.

Summary:
Space group: C2/m

Structure (POSCAR):
```
AlHgF6
1.0
4.625 0.038 -1.567
-1.365 4.419 -1.567
0.012 0.017 5.894
F Hg Al
6 1 1
direct
0.308 0.975 0.258
0.751 0.751 0.080
0.025 0.692 0.742
0.249 0.249 0.920
0.692 0.025 0.742
0.975 0.308 0.258
0.000 0.000 0.500
0.000 0.000 0.000
```


# 9
## Al2HgF6 (PBE-GGA)

Data for crystalline Al2HgF6 at its relaxed geometry.

Summary:
Space group: R3

Structure (POSCAR):
```
Al2HgF6
1.0
4.933 0.000 0.000
2.467 4.272 0.000
2.466 1.424 8.375
F Hg Al
6 1 2
direct
0.504 0.127 0.617
0.751 0.504 0.617
0.828 0.207 0.380
0.127 0.751 0.617
0.207 0.585 0.380
0.585 0.829 0.380
0.329 0.329 0.012
0.500 0.500 0.499
0.834 0.834 0.499
```


# 10
## AlHgF3 (PBE-GGA)

Data for crystalline AlHgF3 at its relaxed geometry.

Summary:
Space group: Pm-3m
ΔE to the lowest computed polymorph (eV per atom): 0.994

Structure (POSCAR):
```
AlHgF3
1.0
-2.068 1.365 -3.847
-3.899 -1.940 1.407
-1.211 3.913 2.040
F Al Hg
3 1 1
direct
0.000 0.000 0.500
0.000 0.500 0.000
0.500 0.000 0.000
0.500 0.500 0.500
0.000 0.000 0.000
```


# 11
## AlHgF2 (PBE-GGA)

Data for crystalline AlHgF2 at its relaxed geometry.

Summary:
Space group: Fd-3m
ΔE to the lowest computed polymorph (eV per atom): 0.000

Structure (POSCAR):
```
AlHgF2
1.0
5.862 -1.633 0.304
2.038 -3.154 4.798
1.570 -5.852 -0.645
F Al Hg
4 2 2
direct
0.625 0.125 0.125
0.125 0.625 0.125
0.125 0.125 0.625
0.125 0.125 0.125
0.000 0.000 0.000
0.250 0.250 0.250
0.500 0.500 0.500
0.750 0.750 0.750
```


# 12
## AlHgF2 (PBE-GGA)

Data for crystalline AlHgF2 at its relaxed geometry.

Summary:
Space group: Fm-3m
ΔE to the lowest computed polymorph (eV per atom): 0.928

Structure (POSCAR):
```
AlHgF2
1.0
4.060 -1.861 -0.367
1.048 -3.595 2.462
0.461 -4.003 -1.962
F Al Hg
2 1 1
direct
0.750 0.750 0.750
0.250 0.250 0.250
0.000 0.000 0.000
0.500 0.500 0.500
```


# 13
## AlHgF2 (PBE-GGA)

Data for crystalline AlHgF2 at its relaxed geometry.

Summary:
Space group: R-3m
ΔE to the lowest computed polymorph (eV per atom): 0.194

Structure (POSCAR):
```
AlHgF2
1.0
9.111 0.023 0.014
8.576 3.078 0.014
8.576 1.504 2.686
Al F Hg
1 2 1
direct
0.000 0.000 0.000
0.937 0.937 0.937
0.063 0.063 0.063
0.500 0.500 0.500
```


# 14
## Al2HgF8 (PBE-GGA)

Data for crystalline Al2HgF8 at its relaxed geometry.

Summary:
Space group: C2/m

Structure (POSCAR):
```
Al2HgF8
1.0
5.161 0.018 0.014
0.042 5.726 0.777
0.042 2.290 5.306
Al F Hg
2 8 1
direct
0.507 0.727 0.727
0.493 0.273 0.273
0.807 0.180 0.180
0.765 0.618 0.618
0.369 0.378 0.927
0.631 0.622 0.073
0.369 0.927 0.378
0.235 0.382 0.382
0.631 0.073 0.622
0.193 0.820 0.820
0.000 0.000 0.000
```


| no. | total DFT energy (no corrections) (eV/f.u.) | E_form (uncorrected) (eV/atom) |
| --- | --- | --- |
| 1 | -23.45 | -0.0031 |
| 2 | -29.76 | -1.7680 |
| 3 | -25.94 | -0.6148 |
| 4 | -32.92 | -0.7248 |
| 5 | -34.93 | -1.1279 |
| 6 | -21.79 | -0.2417 |
| 7 | -28.56 | -1.5964 |
| 8 | -32.51 | -2.1552 |
| 9 | -46.48 | -3.0521 |
| 10 | -15.59 | -1.1869 |
| 11 | -15.18 | -1.8475 |
| 12 | -11.46 | -0.9190 |
| 13 | -14.40 | -1.6537 |
| 14 | -53.78 | -2.8205 |